SbPOs2 PBEsol relaxed; distance to the lowest polymorph of the same formula = 21.7 meV per atom; formation energy without anion corrections = 0.27 eV/atom
1.0
2.975 0.000 0.000
1.488 2.577 0.000
1.488 0.859 7.930
Os Sb P
2 1 1
direct
0.761 0.761 0.716
0.239 0.239 0.284
0.000 0.000 0.000
0.500 0.500 0.500


CaAl3As PBEsol relaxed; calculated formation energy = 0.304 eV per atom
1.0
-3.023 -0.913 -3.891
3.903 -1.726 -2.627
-0.861 -4.615 1.752
Al Ca As
3 1 1
direct
0.500 0.000 0.000
0.000 0.000 0.500
0.000 0.500 0.000
0.500 0.500 0.500
0.000 0.000 0.000


Ni2SnPd2 PBEsol relaxed; calculated formation energy = 0.024 eV per atom
1.0
-1.233 -1.103 -2.871
3.076 -0.447 -1.149
-0.932 -5.564 4.451
Pd Sn Ni
2 1 2
direct
0.395 0.395 0.789
0.605 0.605 0.211
0.000 0.000 0.000
0.750 0.250 0.500
0.250 0.750 0.500


La2TaFe PBEsol relaxed; distance to the lowest polymorph of the same formula = 0.0 meV per atom; calculated formation energy = 0.618 eV per atom
1.0
-2.977 -3.853 0.578
-0.164 -3.507 -3.423
1.879 -4.431 0.938
La Fe Ta
2 1 1
direct
0.000 0.000 0.000
0.750 0.750 0.750
0.500 0.500 0.500
0.250 0.250 0.250


ZrMnAl2 PBEsol relaxed; calculated formation energy = -0.067 eV per atom
1.0
4.420 0.000 0.000
2.210 3.828 0.000
2.210 1.276 3.609
Al Mn Zr
2 1 1
direct
0.750 0.750 0.750
0.250 0.250 0.250
0.000 0.000 0.000
0.500 0.500 0.500


ScCdIr2 PBEsol relaxed; calculated formation energy = -0.330 eV per atom
1.0
-2.125 1.971 -0.549
-2.125 -1.150 4.100
4.458 2.791 0.691
Ir Cd Sc
2 1 1
direct
0.014 0.935 0.029
0.734 0.310 0.468
0.264 0.822 0.528
0.487 0.432 0.975


SbTeW PBEsol relaxed; distance to the lowest polymorph of the same formula = 0.0 meV per atom; formation energy without anion corrections = 0.28 eV/atom
1.0
-0.112 -1.837 2.665
-0.001 -2.667 -1.838
6.591 2.121 -0.229
W Te Sb
1 1 1
direct
0.329 0.329 0.657
0.706 0.706 0.412
0.965 0.965 0.930


Li2La2Mg PBEsol relaxed; distance to the lowest polymorph of the same formula = 88.9 meV per atom; calculated formation energy = 0.150 eV per atom
1.0
3.556 0.000 0.000
0.000 3.556 0.000
-1.778 -1.778 10.706
Li La Mg
2 2 1
direct
0.250 0.750 0.500
0.750 0.250 0.500
0.609 0.609 0.218
0.391 0.391 0.782
0.000 0.000 0.000


TlReCl2 PBEsol relaxed; distance to the lowest polymorph of the same formula = 0.0 meV per atom; formation energy without anion corrections = 0.36 eV/atom
1.0
2.884 0.000 0.000
0.000 4.521 0.000
0.000 0.000 6.624
Re Tl Cl
1 1 2
direct
0.500 0.000 0.401
0.000 0.500 0.729
0.500 0.000 0.057
0.500 0.500 0.314


YSi2Os PBEsol relaxed; formation energy without anion corrections = -0.43 eV/atom
1.0
-2.113 0.037 -2.330
-1.030 -2.836 0.889
-4.363 2.839 4.002
Si Y Os
2 1 1
direct
0.500 0.500 0.199
0.000 0.000 0.986
0.000 0.000 0.495
0.500 0.500 0.821


AlTlI2N PBEsol relaxed; formation energy without anion corrections = -0.12 eV/atom
1.0
3.545 0.000 0.000
0.000 5.999 0.000
0.000 0.000 5.999
N Al Tl I
1 1 1 2
direct
0.500 0.000 0.000
0.000 0.000 0.000
0.500 0.500 0.500
0.000 0.500 0.000
0.000 0.000 0.500


OsRh2Cl PBEsol relaxed; distance to the lowest polymorph of the same formula = 0.0 meV per atom; formation energy without anion corrections = 0.58 eV/atom
1.0
2.772 0.000 0.000
0.000 2.772 0.000
0.000 0.000 7.354
Os Rh Cl
1 2 1
direct
0.500 0.500 0.757
0.000 0.000 0.991
0.500 0.500 0.246
0.000 0.000 0.506


BaOsSe2 PBEsol relaxed; distance to the lowest polymorph of the same formula = 0.0 meV per atom; formation energy without anion corrections = -0.07 eV/atom
1.0
4.067 0.000 0.000
-2.034 3.306 0.000
0.000 0.000 7.399
Os Se Ba
1 2 1
direct
0.500 0.000 0.000
0.000 0.000 0.805
0.000 0.000 0.195
0.500 0.000 0.500


FeOs3S PBEsol relaxed; formation energy without anion corrections = 2.20 eV/atom
1.0
4.367 0.000 0.000
0.000 4.367 0.000
0.000 0.000 4.367
S Os Fe
1 3 1
direct
0.500 0.500 0.500
0.000 0.000 0.500
0.500 0.000 0.000
0.000 0.500 0.000
0.000 0.000 0.000


GaNiH2 PBEsol relaxed; DFT total energy = -0.256 Ry/atom
1.0
3.560 0.000 0.000
1.780 3.083 0.000
1.780 1.028 2.907
Ga H Ni
1 2 1
direct
0.500 0.500 0.500
0.750 0.750 0.750
0.250 0.250 0.250
0.000 0.000 0.000


Zr3CrW PBEsol relaxed; calculated formation energy = 1.207 eV per atom
1.0
5.015 0.000 0.000
0.000 5.015 0.000
0.000 0.000 5.015
Zr W Cr
3 1 1
direct
0.000 0.000 0.500
0.000 0.500 0.000
0.500 0.000 0.000
0.000 0.000 0.000
0.500 0.500 0.500


K2TlPt PBEsol relaxed; distance to the lowest polymorph of the same formula = 69.9 meV per atom; calculated formation energy = -0.001 eV per atom
1.0
3.957 0.000 0.000
0.000 5.595 0.000
-1.979 -2.798 5.656
K Pt Tl
2 1 1
direct
0.791 0.291 0.583
0.983 0.983 0.966
0.534 0.534 0.067
0.192 0.692 0.384


Li2S2O7 PBEsol relaxed; formation energy without anion corrections = -1.69 eV/atom
1.0
4.869 0.000 0.000
0.000 8.209 0.000
0.000 0.000 13.149
O Li S
28 8 8
direct
0.225 0.899 0.008
0.862 0.750 0.556
0.123 0.601 0.794
0.998 0.750 0.381
0.138 0.250 0.444
0.275 0.899 0.508
0.725 0.101 0.492
0.123 0.899 0.794
0.502 0.750 0.881
0.002 0.250 0.619
0.377 0.899 0.294
0.623 0.399 0.706
0.623 0.101 0.706
0.530 0.250 0.301
0.275 0.601 0.508
0.638 0.750 0.056
0.030 0.750 0.199
0.877 0.399 0.206
0.225 0.601 0.008
0.877 0.101 0.206
0.775 0.101 0.992
0.775 0.399 0.992
0.498 0.250 0.119
0.470 0.750 0.699
0.970 0.250 0.801
0.377 0.601 0.294
0.725 0.399 0.492
0.362 0.250 0.944
0.601 0.931 0.603
0.601 0.569 0.603
0.399 0.069 0.397
0.899 0.569 0.103
0.899 0.931 0.103
0.101 0.069 0.897
0.399 0.431 0.397
0.101 0.431 0.897
0.114 0.750 0.496
0.778 0.250 0.717
0.278 0.750 0.783
0.886 0.250 0.504
0.222 0.750 0.283
0.386 0.750 0.996
0.614 0.250 0.004
0.722 0.250 0.217


Tm5P12Ir19 PBEsol relaxed; calculated formation energy = -0.834 eV per atom
1.0
-2.891 2.625 -0.197
-1.180 -2.224 -12.307
-6.663 -6.716 8.263
Tm Ir P
5 19 12
direct
0.000 0.183 0.183
0.000 0.000 0.817
0.500 0.667 0.333
0.500 0.333 0.667
0.000 0.817 0.000
0.500 0.000 0.000
0.500 0.536 0.536
0.500 0.625 0.806
0.500 0.464 0.000
0.500 0.000 0.464
0.000 0.493 0.360
0.000 0.867 0.507
0.500 0.820 0.194
0.500 0.375 0.180
0.000 0.715 0.715
0.500 0.180 0.375
0.000 0.285 0.000
0.000 0.360 0.493
0.000 0.133 0.640
0.500 0.194 0.820
0.000 0.640 0.133
0.000 0.000 0.285
0.000 0.507 0.867
0.500 0.806 0.625
0.000 0.171 0.484
0.500 0.645 0.000
0.500 0.000 0.645
0.000 0.313 0.829
0.500 0.355 0.355
0.000 0.516 0.687
0.500 0.822 0.822
0.000 0.484 0.171
0.000 0.687 0.516
0.500 0.178 0.000
0.000 0.829 0.313
0.500 0.000 0.178


Mn5Si PBEsol relaxed; formation energy without anion corrections = -0.17 eV/atom
1.0
-2.944 1.088 -2.261
-2.395 -0.191 3.026
-0.384 3.977 2.414
Mn Si
5 1
direct
0.000 0.832 0.337
0.500 0.331 0.338
0.000 0.168 0.663
0.500 0.000 0.000
0.500 0.669 0.662
0.000 0.500 0.000


FeSiIr PBEsol relaxed; formation energy without anion corrections = -0.25 eV/atom
1.0
2.686 0.000 0.000
-1.343 2.326 0.000
0.000 0.000 5.816
Ir Si Fe
1 1 1
direct
0.333 0.667 0.659
0.667 0.333 0.320
0.000 0.000 0.021


SbWAu2 PBEsol relaxed; formation energy without anion corrections = 0.60 eV/atom
1.0
2.889 0.000 0.000
0.000 5.053 0.000
0.000 0.000 5.053
Au W Sb
2 1 1
direct
0.000 0.500 0.000
0.000 0.000 0.500
0.500 0.000 0.000
0.500 0.500 0.500


Li2NiP4O12 PBEsol relaxed; distance to the lowest polymorph of the same formula = 0.0 meV per atom; formation energy without anion corrections = -2.06 eV/atom
1.0
7.784 -0.106 -0.131
-1.368 8.204 -0.883
-1.368 -2.553 7.846
O P Li Ni
24 8 4 2
direct
0.971 0.989 0.724
0.212 0.358 0.875
0.994 0.702 0.377
0.777 0.134 0.915
0.651 0.082 0.156
0.060 0.520 0.092
0.317 0.202 0.387
0.764 0.608 0.069
0.471 0.724 0.989
0.817 0.387 0.202
0.560 0.092 0.520
0.277 0.915 0.134
0.634 0.863 0.633
0.134 0.633 0.863
0.494 0.377 0.702
0.507 0.252 0.990
0.380 0.762 0.372
0.305 0.885 0.823
0.712 0.875 0.358
0.880 0.372 0.762
0.151 0.156 0.082
0.007 0.990 0.252
0.805 0.823 0.885
0.264 0.069 0.608
0.406 0.190 0.569
0.811 0.950 0.794
0.563 0.886 0.451
0.671 0.205 0.065
0.311 0.794 0.950
0.171 0.065 0.205
0.906 0.569 0.190
0.063 0.451 0.886
0.733 0.539 0.794
0.975 0.952 0.471
0.475 0.471 0.952
0.233 0.794 0.539
0.736 0.862 0.119
0.236 0.119 0.862